A plane-wave DFT calculation with PBE was carried out for crystalline CuTe3H at its relaxed geometry.

abc: 5.1675 5.1675 5.1675
angles: 90.00 90.00 90.00
Last column: nearest neighbours and their distance in Å.
Space group Pm-3m (No. 221)
Inequivalent atoms, fractional coordinates:
Cu 0.0000 0.0000 0.0000 x1  6 Te 2.58
Te 0.0000 0.0000 0.5000 x3  2 Cu 2.58
H 0.5000 0.5000 0.5000 x1  12 Te 3.65

Output
Magnetization   1.0 μB/f.u.
Total energy   -2.563 eV per atom